## SrFeP2O8 (PBE+U)

Data for SrFeP2O8 after structural relaxation.

Output
Magnetization (μB per formula unit): 5.52
Calculated total energy (eV/atom): -6.947

Lattice parameters (Å, degrees): 5.4693 7.1614 9.2054 109.51 100.11 98.09
With the nearest neighbours (Å) after each atom.
Fractional coordinates of all 24 atoms:
Sr  0.2419  0.2024  0.4382  6 O 2.51-2.80
Sr  0.7581  0.7976  0.5618  6 O 2.51-2.80
Fe  0.1589  0.8389  0.0508  5 O 1.90-2.12
Fe  0.8411  0.1611  0.9492  5 O 1.90-2.12
P  0.1117  0.5701  0.2662  4 O 1.53-1.55
P  0.3491  0.0394  0.8056  4 O 1.53-1.59
P  0.6509  0.9606  0.1944  4 O 1.53-1.59
P  0.8883  0.4299  0.7338  4 O 1.53-1.55
O  0.0636  0.3994  0.1035  1 P 1.53
O  0.0960  0.4633  0.6448  1 P 1.55
O  0.1199  0.9704  0.8750  1 P 1.59
O  0.1313  0.7780  0.2466  1 P 1.55
O  0.2382  0.0173  0.6348  1 P 1.53
O  0.3507  0.5603  0.3790  1 P 1.55
O  0.4442  0.0925  0.1930  1 P 1.57
O  0.4923  0.7503  0.0748  1 P 1.56
O  0.5077  0.2497  0.9252  1 P 1.56
O  0.5558  0.9075  0.8070  1 P 1.57
O  0.6493  0.4397  0.6210  1 P 1.55
O  0.7618  0.9827  0.3652  1 P 1.53
O  0.8687  0.2220  0.7534  1 P 1.55
O  0.8801  0.0296  0.1250  1 P 1.59
O  0.9040  0.5367  0.3552  1 P 1.55
O  0.9364  0.6006  0.8965  1 P 1.53